# 1
A plane-wave DFT calculation with PBE was carried out for a relaxed In3Hg2S crystal.

abc: 6.8354 7.2897 7.2897
angles: 112.22 99.56 99.56
Element x y z (fractional)
Hg 0.2500 0.2369 0.7631
Hg 0.7500 0.7631 0.2369
Hg 0.7500 0.0833 0.9167
Hg 0.2500 0.9167 0.0833
In 0.9997 0.7914 0.6478
In 0.0000 0.5000 0.0000
In 0.5003 0.3522 0.2086
In 0.4997 0.6478 0.7914
In 0.0003 0.2086 0.3522
In 0.5000 0.0000 0.5000
S 0.7500 0.4221 0.5779
S 0.2500 0.5779 0.4221

Calculated values
space-group type	No. 15
formation energy (no corrections)	-0.13	eV/atom
raw total energy	-2.29	eV per atom
theoretical density	8.0	g cm⁻³

# 2
A plane-wave DFT calculation with PBE was carried out for a relaxed Rb2Pd2Au crystal.

abc: 3.7918 3.7918 10.6435
angles: 79.74 79.74 90.00
Element x y z (fractional)
Au 0.0000 0.0000 0.0000
Rb 0.6089 0.6089 0.7821
Rb 0.3911 0.3911 0.2179
Pd 0.7500 0.2500 0.5000
Pd 0.2500 0.7500 0.5000

Calculated values
DFT formation energy	0.21	eV per formula unit
space-group type	No. 139
raw total energy	-3.08	eV per atom
theoretical density	6.5	g cm⁻³

# 3
A plane-wave DFT calculation with PBE was carried out for a relaxed CdIn2Au crystal.

abc: 3.1686 4.2863 6.7222
angles: 90.00 90.00 90.00
Element x y z (fractional)
Cd 0.5000 0.5000 0.7299
In 0.0000 0.0000 0.9900
In 0.5000 0.5000 0.2714
Au 0.0000 0.0000 0.5087

Calculated values
DFT formation energy	-0.12	eV per formula unit
space-group type	No. 25
raw total energy	-2.45	eV per atom
theoretical density	9.8	g cm⁻³